Entry 1:
The following is a PBE calculation of Re2SiTc after structural relaxation, from Alexandria via LeMat-Bulk.

Results
DFT total energy: -40.56 eV/cell
raw formation energy: 30 meV/atom
N(E_F): 0.658 states/eV/atom
magnetic moment: 0.00 Bohr magnetons per cell

Unit cell a=3.009 b=4.288 c=4.425 alpha=90.00 beta=90.00 gamma=90.00
Sites, in units of the cell vectors:
Tc1 0.000 0.500 0.500
Re1 0.500 0.500 0.000
Re2 0.000 0.000 0.000
Si1 0.500 0.000 0.500

***

Entry 2:
The following is a PBE calculation of La2TeW after structural relaxation, from Alexandria via LeMat-Bulk.

Results
DFT total energy: -26.16 eV/cell
raw formation energy: -53 meV/atom
N(E_F): 1.453 states/eV/atom
magnetic moment: 1.25 Bohr magnetons per cell

Unit cell a=3.918 b=3.917 c=8.276 alpha=61.83 beta=90.00 gamma=90.00
Sites, in units of the cell vectors:
La1 0.000 0.016 0.983
La2 0.000 0.484 0.517
W1 0.500 0.750 0.750
Te1 0.500 0.250 0.250

***

Entry 3:
The following is a PBE calculation of CeScZnSi after structural relaxation, from Alexandria via LeMat-Bulk.

Results
DFT total energy: -20.65 eV/cell
raw formation energy: -422 meV/atom
N(E_F): 1.515 states/eV/atom
magnetic moment: 0.55 Bohr magnetons per cell

Unit cell a=4.883 b=4.883 c=4.883 alpha=60.00 beta=60.00 gamma=60.00
Sites, in units of the cell vectors:
Ce1 0.000 0.000 0.000
Sc1 0.500 0.500 0.500
Si1 0.750 0.750 0.750
Zn1 0.250 0.250 0.250

***

Entry 4:
The following is a PBE calculation of BaTlCo4 after structural relaxation, from Alexandria via LeMat-Bulk.

Results
DFT total energy: -29.72 eV/cell
N(E_F): 1.659 states/eV/atom
magnetic moment: 5.51 Bohr magnetons per cell
energy of formation: 0.50 eV per atom

Unit cell a=5.268 b=5.268 c=5.268 alpha=60.00 beta=60.00 gamma=60.00
Sites, in units of the cell vectors:
Tl1 0.750 0.750 0.750
Co1 0.377 0.868 0.377
Co2 0.377 0.377 0.377
Co3 0.868 0.377 0.377
Co4 0.377 0.377 0.868
Ba1 0.000 0.000 0.000

***

Entry 5:
The following is a PBE calculation of HoTmIrO6 after structural relaxation, from Alexandria via LeMat-Bulk.

Results
DFT total energy: -135.63 eV/cell
raw formation energy: -2240 meV/atom
N(E_F): 0.411 states/eV/atom
magnetic moment: 5.54 Bohr magnetons per cell

Unit cell a=5.430 b=5.430 c=9.533 alpha=90.00 beta=90.00 gamma=120.00
Sites, in units of the cell vectors:
Ir1 0.333 0.667 0.750
Ir2 0.667 0.333 0.250
O1 0.963 0.634 0.366
O2 0.671 0.634 0.134
O3 0.037 0.671 0.866
O4 0.329 0.366 0.866
O5 0.366 0.329 0.366
O6 0.634 0.963 0.866
O7 0.366 0.037 0.134
O8 0.671 0.037 0.366
O9 0.329 0.963 0.634
O10 0.037 0.366 0.634
O11 0.634 0.671 0.634
O12 0.963 0.329 0.134
Ho1 0.000 0.000 0.500
Ho2 0.000 0.000 0.000
Tm1 0.667 0.333 0.750
Tm2 0.333 0.667 0.250

***

Entry 6:
The following is a PBE calculation of MnCu4Te after structural relaxation, from Alexandria via LeMat-Bulk.

Results
DFT total energy: -27.62 eV/cell
raw formation energy: 180 meV/atom
N(E_F): 0.476 states/eV/atom
magnetic moment: 4.53 Bohr magnetons per cell

Unit cell a=5.025 b=5.025 c=5.025 alpha=60.00 beta=60.00 gamma=60.00
Sites, in units of the cell vectors:
Cu1 0.376 0.376 0.873
Cu2 0.376 0.873 0.376
Cu3 0.376 0.376 0.376
Cu4 0.873 0.376 0.376
Mn1 0.750 0.750 0.750
Te1 0.000 0.000 0.000

***

Entry 7:
The following is a PBE calculation of LaMn4Ru after structural relaxation, from Alexandria via LeMat-Bulk.

Results
DFT total energy: -48.39 eV/cell
N(E_F): 1.908 states/eV/atom
magnetic moment: 9.15 Bohr magnetons per cell
energy of formation: 0.41 eV per atom

Unit cell a=5.050 b=5.050 c=5.050 alpha=60.00 beta=60.00 gamma=60.00
Sites, in units of the cell vectors:
Mn1 0.623 0.623 0.131
Mn2 0.131 0.623 0.623
Mn3 0.623 0.131 0.623
Mn4 0.623 0.623 0.623
La1 0.000 0.000 0.000
Ru1 0.250 0.250 0.250

***

Entry 8:
The following is a PBE calculation of CaTm2Br8 after structural relaxation, from Alexandria via LeMat-Bulk.

Results
DFT total energy: -43.91 eV/cell
raw formation energy: -1780 meV/atom
N(E_F): 0.000 states/eV/atom
magnetic moment: 0.00 Bohr magnetons per cell

Unit cell a=7.190 b=10.085 c=10.085 alpha=44.46 beta=95.28 gamma=95.28
Sites, in units of the cell vectors:
Br1 0.622 0.719 0.719
Br2 0.265 0.321 0.820
Br3 0.735 0.679 0.180
Br4 0.187 0.866 0.866
Br5 0.378 0.281 0.281
Br6 0.265 0.820 0.321
Br7 0.735 0.180 0.679
Br8 0.813 0.134 0.134
Tm1 0.449 0.147 0.147
Tm2 0.551 0.853 0.853
Ca1 0.000 0.000 0.000

***

Entry 9:
The following is a PBE calculation of CaBiN after structural relaxation, from Alexandria via LeMat-Bulk.

Results
DFT total energy: -15.34 eV/cell
raw formation energy: -377 meV/atom
N(E_F): 0.426 states/eV/atom
magnetic moment: 0.00 Bohr magnetons per cell

Unit cell a=3.447 b=3.446 c=6.527 alpha=105.33 beta=105.31 gamma=90.00
Sites, in units of the cell vectors:
Ca1 0.411 0.411 0.822
Bi1 0.705 0.705 0.409
N1 0.884 0.884 0.769

***

Entry 10:
The following is a PBE calculation of CsHo2MnTe4 after structural relaxation, from Alexandria via LeMat-Bulk.

Results
DFT total energy: -80.16 eV/cell
raw formation energy: -1042 meV/atom
N(E_F): 0.401 states/eV/atom
magnetic moment: 8.26 Bohr magnetons per cell

Unit cell a=4.438 b=8.176 c=15.529 alpha=90.00 beta=90.00 gamma=105.75
Sites, in units of the cell vectors:
Te1 0.571 0.143 0.250
Te2 0.000 0.000 0.500
Te3 0.259 0.518 0.105
Te4 0.741 0.482 0.605
Te5 0.259 0.518 0.395
Te6 0.429 0.857 0.750
Te7 0.741 0.482 0.895
Te8 0.000 0.000 0.000
Ho1 0.371 0.742 0.938
Ho2 0.371 0.742 0.562
Ho3 0.629 0.258 0.062
Ho4 0.629 0.258 0.438
Cs1 0.889 0.777 0.250
Cs2 0.111 0.223 0.750
Mn1 0.169 0.337 0.250
Mn2 0.831 0.663 0.750

***

Entry 11:
The following is a PBE calculation of Mg2TcOs after structural relaxation, from Alexandria via LeMat-Bulk.

Results
DFT total energy: -23.77 eV/cell
N(E_F): 0.668 states/eV/atom
magnetic moment: 0.00 Bohr magnetons per cell
energy of formation: 0.25 eV per atom

Unit cell a=4.501 b=2.717 c=5.223 alpha=78.75 beta=90.00 gamma=90.00
Sites, in units of the cell vectors:
Mg1 0.000 0.497 0.499
Mg2 0.000 0.003 0.001
Tc1 0.500 0.750 0.750
Os1 0.500 0.250 0.250

***

Entry 12:
The following is a PBE calculation of Ta2AgF after structural relaxation, from Alexandria via LeMat-Bulk.

Results
DFT total energy: -27.47 eV/cell
raw formation energy: 240 meV/atom
N(E_F): 0.437 states/eV/atom
magnetic moment: 0.00 Bohr magnetons per cell

Unit cell a=4.497 b=4.497 c=4.497 alpha=60.00 beta=60.00 gamma=60.00
Sites, in units of the cell vectors:
F1 0.000 0.000 0.000
Ta1 0.250 0.250 0.250
Ta2 0.750 0.750 0.750
Ag1 0.500 0.500 0.500